La2S3, relaxed, DFT PBE; formation energy (no corrections) = -2186 meV/atom; D(E_F) = 0.00 states/eV/f.u.; raw total energy = -6.63 eV/atom
1.0
-4.383 4.383 13.082
4.383 -4.383 13.082
4.383 4.383 -13.082
La S
16 24
direct
0.048 0.429 0.900 La
0.165 0.165 0.000 La
0.179 0.298 0.400 La
0.221 0.821 0.118 La
0.254 0.125 0.629 La
0.375 0.746 0.871 La
0.496 0.625 0.371 La
0.529 0.148 0.100 La
0.571 0.471 0.618 La
0.585 0.085 0.500 La
0.702 0.102 0.882 La
0.835 0.835 0.000 La
0.852 0.952 0.382 La
0.875 0.504 0.129 La
0.898 0.779 0.600 La
0.915 0.415 0.500 La
0.004 0.110 0.247 S
0.072 0.827 0.609 S
0.173 0.783 0.245 S
0.184 0.597 0.748 S
0.186 0.099 0.752 S
0.212 0.467 0.891 S
0.217 0.462 0.391 S
0.243 0.996 0.106 S
0.347 0.434 0.248 S
0.403 0.151 0.586 S
0.507 0.112 0.253 S
0.533 0.423 0.745 S
0.538 0.928 0.755 S
0.564 0.816 0.414 S
0.566 0.814 0.914 S
0.577 0.322 0.109 S
0.678 0.788 0.255 S
0.746 0.493 0.606 S
0.849 0.436 0.252 S
0.860 0.254 0.747 S
0.862 0.757 0.753 S
0.888 0.140 0.394 S
0.890 0.138 0.894 S
0.901 0.653 0.086 S